(1)
# HgAsCSe2, relaxed, DFT GGA-PBE
data_HgAsCSe2
_cell_length_a 5.279
_cell_length_b 5.279
_cell_length_c 5.274
_cell_angle_alpha 90.00
_cell_angle_beta 90.00
_cell_angle_gamma 90.00
_space_group_name_H-M_alt 'P 4/m m m'
_space_group_IT_number 123
_space_group_name_Hall '-P 4 2'
loop_
_atom_site_label
_atom_site_fract_x
_atom_site_fract_y
_atom_site_fract_z
Hg1 0.000 0.000 0.000
As1 0.000 0.000 0.500
C1 0.500 0.500 0.500
Se1 0.000 0.500 0.000
# Raw formation energy = 2202 meV/atom

=====

(2)
# HgAs2CSe, relaxed, DFT GGA-PBE
data_HgAs2CSe
_cell_length_a 4.566
_cell_length_b 4.566
_cell_length_c 4.391
_cell_angle_alpha 90.00
_cell_angle_beta 90.00
_cell_angle_gamma 90.00
_space_group_name_H-M_alt 'P 4/m m m'
_space_group_IT_number 123
_space_group_name_Hall '-P 4 2'
loop_
_atom_site_label
_atom_site_fract_x
_atom_site_fract_y
_atom_site_fract_z
Hg1 0.000 0.000 0.000
As1 0.000 0.500 0.500
C1 0.500 0.500 0.500
Se1 0.500 0.500 0.000
# Raw formation energy = 1081 meV/atom

=====

(3)
# HgAs2CSe, relaxed, DFT GGA-PBE
data_HgAs2CSe
_cell_length_a 5.224
_cell_length_b 5.224
_cell_length_c 5.270
_cell_angle_alpha 90.00
_cell_angle_beta 90.00
_cell_angle_gamma 90.00
_space_group_name_H-M_alt 'P 4/m m m'
_space_group_IT_number 123
_space_group_name_Hall '-P 4 2'
loop_
_atom_site_label
_atom_site_fract_x
_atom_site_fract_y
_atom_site_fract_z
Hg1 0.000 0.000 0.000
As1 0.000 0.500 0.000
C1 0.500 0.500 0.500
Se1 0.000 0.000 0.500
# Raw formation energy = 2308 meV/atom

=====

(4)
# HgAsCSe2, relaxed, DFT GGA-PBE
data_HgAsCSe2
_cell_length_a 4.588
_cell_length_b 4.588
_cell_length_c 4.411
_cell_angle_alpha 90.00
_cell_angle_beta 90.00
_cell_angle_gamma 90.00
_space_group_name_H-M_alt 'P 4/m m m'
_space_group_IT_number 123
_space_group_name_Hall '-P 4 2'
loop_
_atom_site_label
_atom_site_fract_x
_atom_site_fract_y
_atom_site_fract_z
Hg1 0.000 0.000 0.000
As1 0.500 0.500 0.000
C1 0.500 0.500 0.500
Se1 0.000 0.500 0.500
# Raw formation energy = 1097 meV/atom